# 1
DFT (PBE) results for crystalline La3HoEr2 at its relaxed geometry. Values from VASP.

Cell and atoms, written as Quantum ESPRESSO input:
```
&SYSTEM
  ibrav = 0, nat = 6, ntyp = 3
/
ATOMIC_SPECIES
La 138.91 La.upf
Ho 164.93 Ho.upf
Er 167.26 Er.upf
CELL_PARAMETERS angstrom
-1.738 3.004 9.854
1.738 -3.004 9.854
1.738 3.004 -9.854
ATOMIC_POSITIONS crystal
La 0.000 0.000 0.000
La 0.313 0.813 0.500
La 0.687 0.187 0.500
Ho 0.500 0.000 0.500
Er 0.137 0.637 0.500
Er 0.863 0.363 0.500
```

DFT formation energy ... 0.330 eV/atom
Calculated volume ... 34.3 A^3/atom
ΔE to the lowest computed polymorph ... 1.47 eV per formula unit
D(E_F) ... 1.6579 states/eV per atom
Size of the total moment ... 0.00 μB per formula unit


# 2
DFT (PBE) results for crystalline La3Ho6Er at its relaxed geometry. Values from VASP.

Cell and atoms, written as Quantum ESPRESSO input:
```
&SYSTEM
  ibrav = 0, nat = 10, ntyp = 3
/
ATOMIC_SPECIES
La 138.91 La.upf
Ho 164.93 Ho.upf
Er 167.26 Er.upf
CELL_PARAMETERS angstrom
4.955 2.861 3.880
-4.955 2.861 3.880
0.000 -5.721 3.880
ATOMIC_POSITIONS crystal
La 0.000 0.000 0.000
La 0.248 0.248 0.248
La 0.752 0.752 0.752
Ho 0.078 0.426 0.745
Ho 0.255 0.922 0.574
Ho 0.426 0.745 0.078
Ho 0.574 0.255 0.922
Ho 0.745 0.078 0.426
Ho 0.922 0.574 0.255
Er 0.500 0.500 0.500
```

DFT formation energy ... 0.288 eV/atom
Calculated volume ... 33.0 A^3/atom
ΔE to the lowest computed polymorph ... 1.33 eV per formula unit
D(E_F) ... 2.1953 states/eV per atom
Size of the total moment ... 0.00 μB per formula unit